The following is a PBE-GGA calculation of a relaxed RbPuMn2Br8 crystal, from Alexandria.

Output
The volume is 441 Å³/cell. For the total energy, the calculation gives -0.373 Ry per atom. The calculation puts the density at 4.062 g/cm3. As for the density of states at the Fermi level: 9.2 states/eV/cell.

Lattice parameters (Å, degrees): 6.9848 6.9848 10.4367 90.00 90.00 120.00
Space group P-3 (No. 147)
Inequivalent atoms, fractional coordinates:
1 Rb 0.0000 0.0000 0.0000 (multiplicity 1)
2 Pu 0.0000 0.0000 0.5000 (multiplicity 1)
3 Mn 0.3333 0.6667 0.7502 (multiplicity 2)
4 Br 0.0083 0.6797 0.3290 (multiplicity 6)
5 Br 0.3333 0.6667 0.9813 (multiplicity 2)